The following is a PBE calculation of a relaxed structure of Li2Ca2CeSn2, from Alexandria via LeMat-Bulk.

Cell: 9.7011 9.7011 9.7011 Å, 29.18 29.18 29.18°
Atoms (fractional coordinates):
Li 0.0971 0.0971 0.0971
Li 0.9029 0.9029 0.9029
Ca 0.3709 0.3709 0.3709
Ca 0.6291 0.6291 0.6291
Ce 0.5000 0.5000 0.5000
Sn 0.2372 0.2372 0.2372
Sn 0.7628 0.7628 0.7628

Energy of formation, eV per atom: -0.453
Calculated volume, Å³ per atom: 27.42
Magnetic moment, μB per cell: 1.87
Space-group type: No. 166